Computed, not measured: an optimized crystal structure of Mg2CoReB at the PBE-GGA level of DFT.

The total energy comes out at -4.5242 eV per atom. The magnetic moment comes out at 0.55 μB per atom. For the volume, the calculation gives 20.380 A^3/atom. Its space group is P4/mmm, No. 123.

a b c (Å): 5.0550 3.9879 5.0550
angles (deg): 90.00 90.00 90.00
Closest atoms and distances in Å follow each position.
Fractional positions:
Re  0.0000  0.0000  0.0000  2 B 1.99
Mg  0.0000  0.0000  0.5000  2 Re 2.53
Mg  0.5000  0.0000  0.0000  2 Re 2.53
B  0.0000  0.5000  0.0000  2 Re 1.99
Co  0.5000  0.5000  0.5000  8 Mg 3.22, 4 B 3.57